1.
{"formula": "CrSiTc", "functional": "GGA-PBE", "state": "relaxed", "cell": [[13.089, 0.000, 0.000], [0.000, 3.926, 0.000], [0.000, 0.000, 2.993]], "species": ["Cr", "Cr", "Cr", "Cr", "Si", "Si", "Si", "Si", "Tc", "Tc", "Tc", "Tc"], "fractional_positions": [[0.000, 0.000, 0.000], [0.500, 0.500, 0.500], [0.000, 0.500, 0.500], [0.500, 0.000, 0.000], [0.141, 0.500, 0.000], [0.859, 0.500, 0.000], [0.641, 0.000, 0.500], [0.359, 0.000, 0.500], [0.673, 0.500, 0.000], [0.327, 0.500, 0.000], [0.173, 0.000, 0.500], [0.827, 0.000, 0.500]], "e_form_raw_ev_per_atom": -0.356, "n_ef_per_ev_cell": 9.2, "e_above_lowest_polymorph_mev_per_atom": 37.6, "energy_ev_per_cell": -105.92}

***

2.
{"formula": "Cr2SiTc", "functional": "GGA-PBE", "state": "relaxed", "cell": [[-0.431, -2.331, -1.059], [0.576, -0.409, 2.498], [-7.595, 0.565, 1.844]], "species": ["Cr", "Cr", "Si", "Tc"], "fractional_positions": [[0.000, 0.000, 0.014], [0.000, 0.000, 0.486], [0.500, 0.500, 0.250], [0.500, 0.500, 0.750]], "e_form_raw_ev_per_atom": 0.037, "n_ef_per_ev_cell": 4.6, "energy_ev_per_cell": -34.89}

***

3.
{"formula": "CrSiTc", "functional": "GGA-PBE", "state": "relaxed", "cell": [[-0.754, -0.785, 5.729], [-2.230, -1.807, -0.541], [5.977, -6.448, -3.097]], "species": ["Cr", "Cr", "Cr", "Cr", "Si", "Si", "Si", "Si", "Tc", "Tc", "Tc", "Tc"], "fractional_positions": [[0.917, 0.000, 0.829], [0.083, 0.000, 0.171], [0.917, 0.500, 0.329], [0.083, 0.500, 0.671], [0.773, 0.000, 0.499], [0.227, 0.000, 0.501], [0.773, 0.500, 0.999], [0.227, 0.500, 0.001], [0.582, 0.000, 0.160], [0.418, 0.000, 0.840], [0.582, 0.500, 0.660], [0.418, 0.500, 0.340]], "e_form_raw_ev_per_atom": -0.285, "n_ef_per_ev_cell": 8.4, "e_above_lowest_polymorph_mev_per_atom": 108.6, "energy_ev_per_cell": -105.07}

***

4.
{"formula": "Cr2SiTc", "functional": "GGA-PBE", "state": "relaxed", "cell": [[-2.583, 1.147, 0.850], [-1.325, -2.581, -0.542], [1.029, -1.653, 5.353]], "species": ["Cr", "Cr", "Si", "Tc"], "fractional_positions": [[0.000, 0.000, 0.029], [0.500, 0.500, 0.243], [0.000, 0.000, 0.490], [0.500, 0.500, 0.738]], "e_form_raw_ev_per_atom": -0.186, "n_ef_per_ev_cell": 3.9, "energy_ev_per_cell": -35.78}

***

5.
{"formula": "Cr2SiTc", "functional": "GGA-PBE", "state": "relaxed", "cell": [[3.979, 0.000, 0.000], [0.000, 2.667, 0.007], [0.000, 1.274, 4.720]], "species": ["Cr", "Cr", "Si", "Tc"], "fractional_positions": [[0.000, 0.042, 0.008], [0.500, 0.203, 0.253], [0.000, 0.476, 0.491], [0.500, 0.780, 0.748]], "e_form_raw_ev_per_atom": -0.099, "n_ef_per_ev_cell": 2.7, "energy_ev_per_cell": -35.43}

***

6.
{"formula": "Cr2SiTc", "functional": "GGA-PBE", "state": "relaxed", "cell": [[4.541, -0.039, 0.000], [-1.853, 4.145, 0.000], [0.000, 0.000, 2.715]], "species": ["Cr", "Cr", "Si", "Tc"], "fractional_positions": [[0.000, 0.000, 0.000], [0.500, 0.500, 0.000], [0.500, 0.000, 0.500], [0.000, 0.500, 0.500]], "e_form_raw_ev_per_atom": -0.008, "n_ef_per_ev_cell": 3.6, "energy_ev_per_cell": -35.07}